Below is LiZnN after structural relaxation, with properties calculated at the PBE level.

Values from the calculation:
Final energy (eV per atom): -3.949
Theoretical density (g/cm3): 4.89

```
LiZnN
1.0
5.4870 0.0000 0.0000
-2.7435 4.7519 0.0000
0.0000 0.0000 3.3734
Li Zn N
3 3 3
Direct
0.0000 0.6029 0.0000 Li
0.3971 0.3971 0.0000 Li
0.6029 0.0000 0.0000 Li
0.0000 0.2798 0.5000 Zn
0.2798 0.0000 0.5000 Zn
0.7202 0.7202 0.5000 Zn
0.0000 0.0000 0.0000 N
0.3333 0.6667 0.5000 N
0.6667 0.3333 0.5000 N
```